1.
Crystalline ErAl2Ir2 at its relaxed geometry. Source: Alexandria via LeMat-Bulk, functional PBE.

Lattice parameters (Å, degrees): 4.1399 4.1399 21.0093 90.00 90.00 90.00
Last column: nearest neighbours and their distance in Å.
Space group I4/mmm (No. 139)
Inequivalent atoms, fractional coordinates:
Er: 0.0000 0.0000 0.1336  8 Al 3.13-3.49, 8 Ir 3.20-3.22
Al: 0.0000 0.0000 0.3130  5 Ir 2.46
Al: 0.0000 0.5000 0.0000  4 Ir 2.54
Ir: 0.0000 0.0000 0.4301  5 Al 2.46-2.54
Ir: 0.0000 0.5000 0.2500  4 Al 2.46

## Properties
D(E_F) = 0.5089 states/eV per atom
Formation energy = -20.13 kcal/mol of atoms
Calculated volume = 18.00 Å³ per atom
Crystal system = tetragonal
Uncorrected energy = -136.54 eV per cell

***

2.
Crystalline Er2Al6Ir at its relaxed geometry. Source: Alexandria via LeMat-Bulk, functional PBE.

Lattice parameters (Å, degrees): 5.6943 5.6943 5.9997 90.00 90.00 120.00
Last column: nearest neighbours and their distance in Å.
Space group P-3m1 (No. 164)
Inequivalent atoms, fractional coordinates:
Er: 0.3333 0.6667 0.1215  9 Al 3.09, 3 Ir 3.37
Al: 0.1711 0.3423 0.6806  1 Ir 2.55, 4 Al 2.75-2.77
Ir: 0.0000 0.0000 0.0000  6 Al 2.55

## Properties
D(E_F) = 0.7329 states/eV per atom
Formation energy = -12.55 kcal/mol of atoms
Calculated volume = 18.72 Å³ per atom
Crystal system = trigonal
Uncorrected energy = -45.34 eV per cell

***

3.
Crystalline ErAl2Ir at its relaxed geometry. Source: Alexandria via LeMat-Bulk, functional PBE.

Lattice parameters (Å, degrees): 6.4744 6.4744 6.4744 90.00 90.00 90.00
Last column: nearest neighbours and their distance in Å.
Space group Fm-3m (No. 225)
Inequivalent atoms, fractional coordinates:
Er: 0.0000 0.0000 0.0000  8 Al 2.80
Al: 0.2500 0.2500 0.2500  4 Er 2.80, 4 Ir 2.80
Ir: 0.0000 0.0000 0.5000  8 Al 2.80

## Properties
D(E_F) = 0.2719 states/eV per atom
Formation energy = -13.05 kcal/mol of atoms
Calculated volume = 16.96 Å³ per atom
Crystal system = cubic
Uncorrected energy = -92.69 eV per cell

***

4.
Crystalline Er2Al3Ir at its relaxed geometry. Source: Alexandria via LeMat-Bulk, functional PBE.

Lattice parameters (Å, degrees): 5.4455 5.4455 13.1756 90.00 90.00 120.00
Last column: nearest neighbours and their distance in Å.
Space group R-3m (No. 166, hexagonal axes)
Inequivalent atoms, fractional coordinates:
Er: 0.0000 0.0000 0.1265  9 Al 3.15-3.19, 3 Ir 3.19, 4 Er 3.32-3.33
Al: 0.0000 0.5000 0.0000  2 Ir 2.70, 4 Al 2.72
Ir: 0.0000 0.0000 0.5000  6 Al 2.70

## Properties
D(E_F) = 0.5657 states/eV per atom
Formation energy = -16.65 kcal/mol of atoms
Calculated volume = 18.79 Å³ per atom
Crystal system = trigonal
Uncorrected energy = -100.64 eV per cell

***

5.
Crystalline Er4AlIr at its relaxed geometry. Source: Alexandria via LeMat-Bulk, functional PBE.

Lattice parameters (Å, degrees): 13.3802 13.3802 13.3802 90.00 90.00 90.00
Last column: nearest neighbours and their distance in Å.
Space group F-43m (No. 216)
Inequivalent atoms, fractional coordinates:
Er: 0.0000 0.0000 0.1883  2 Al 3.26, 10 Er 3.41-3.56, 2 Ir 3.41
Er: 0.0545 0.2500 0.7500  2 Ir 2.77
Er: 0.1019 0.1019 0.3981  3 Ir 2.82
Al: 0.1718 0.1718 0.1718  3 Al 2.96, 6 Er 3.26-3.30
Ir: 0.1088 0.1088 0.6088  6 Er 2.77-2.82

## Properties
D(E_F) = 0.5426 states/eV per atom
Formation energy = -13.14 kcal/mol of atoms
Polymorph energy (0 for the lowest one) = 0 meV/atom
Calculated volume = 24.95 Å³ per atom
Crystal system = cubic
Uncorrected energy = -548.39 eV per cell

***

6.
Crystalline ErAl2Ir at its relaxed geometry. Source: Alexandria via LeMat-Bulk, functional PBE.

Lattice parameters (Å, degrees): 15.0821 7.1262 5.5607 90.00 90.00 90.00
Last column: nearest neighbours and their distance in Å.
Space group Pnma (No. 62)
Inequivalent atoms, fractional coordinates:
Er: 0.1004 0.2500 0.2383  2 Ir 2.86-2.93, 6 Al 3.07-3.18
Er: 0.1385 0.7500 0.4609  3 Ir 2.83-3.10, 4 Al 3.09-3.13
Al: 0.0415 0.0581 0.7518  3 Ir 2.59-2.61, 2 Al 2.74-2.87
Al: 0.2110 0.5519 0.9413  3 Ir 2.53-2.56, 1 Al 2.82
Ir: 0.0704 0.7500 0.9870  6 Al 2.56-2.61, 2 Er 2.83-2.86
Ir: 0.1883 0.2500 0.7088  6 Al 2.53-2.61

## Properties
D(E_F) = 0.4954 states/eV per atom
Formation energy = -19.72 kcal/mol of atoms
Calculated volume = 18.68 Å³ per atom
Crystal system = orthorhombic
Uncorrected energy = -194.64 eV per cell

***

7.
Crystalline ErLuAlIr at its relaxed geometry. Source: Alexandria via LeMat-Bulk, functional PBE.

Lattice parameters (Å, degrees): 6.9237 6.9237 6.9237 90.00 90.00 90.00
Last column: nearest neighbours and their distance in Å.
Space group F-43m (No. 216)
Inequivalent atoms, fractional coordinates:
Er: 0.0000 0.0000 0.0000  4 Ir 3.00, 4 Al 3.00
Lu: 0.0000 0.0000 0.5000  4 Al 3.00, 4 Ir 3.00
Al: 0.2500 0.2500 0.2500  4 Er 3.00, 4 Lu 3.00
Ir: 0.2500 0.2500 0.7500  4 Er 3.00, 4 Lu 3.00

## Properties
D(E_F) = 0.7231 states/eV per atom
Formation energy = -14.47 kcal/mol of atoms
Calculated volume = 20.74 Å³ per atom
Crystal system = cubic
Uncorrected energy = -96.79 eV per cell

***

8.
Crystalline PmErAlIr at its relaxed geometry. Source: Alexandria via LeMat-Bulk, functional PBE.

Lattice parameters (Å, degrees): 7.0982 7.0982 7.0982 90.00 90.00 90.00
Last column: nearest neighbours and their distance in Å.
Space group F-43m (No. 216)
Inequivalent atoms, fractional coordinates:
Pm: 0.0000 0.0000 0.0000  4 Ir 3.07, 4 Al 3.07
Er: 0.0000 0.0000 0.5000  4 Al 3.07, 4 Ir 3.07
Al: 0.2500 0.2500 0.7500  4 Er 3.07, 4 Pm 3.07
Ir: 0.2500 0.2500 0.2500  4 Er 3.07, 4 Pm 3.07

## Properties
D(E_F) = 0.9157 states/eV per atom
Formation energy = -11.51 kcal/mol of atoms
Calculated volume = 22.35 Å³ per atom
Crystal system = cubic
Uncorrected energy = -95.66 eV per cell